1.
First-principles (PBE) data for a geometry-optimized GdZrTcRh structure, as listed in Alexandria.

Cell: 6.7289 6.7289 6.7289 Å, 90.00 90.00 90.00°
Space group F-43m (No. 216)
Symmetry-distinct sites (fractional):
Gd1 0.0000 0.0000 0.0000 (multiplicity 4)
Zr1 0.0000 0.0000 0.5000 (multiplicity 4)
Tc1 0.2500 0.2500 0.2500 (multiplicity 4)
Rh1 0.2500 0.2500 0.7500 (multiplicity 4)

Calculated values
energy of formation = -0.43 eV per atom
DFT total energy = -42.1 eV per formula unit
DOS at the Fermi energy = 11.913 states/eV per cell



2.
First-principles (PBE) data for a geometry-optimized Sn3AsC structure, as listed in Alexandria.

Cell: 4.8128 4.8128 4.8128 Å, 90.00 90.00 90.00°
Space group Pm-3m (No. 221)
Symmetry-distinct sites (fractional):
Sn1 0.0000 0.0000 0.5000 (multiplicity 3)
As1 0.5000 0.5000 0.5000 (multiplicity 1)
C1 0.0000 0.0000 0.0000 (multiplicity 1)

Calculated values
energy of formation = 0.80 eV per atom
DFT total energy = -21.9 eV per formula unit
DOS at the Fermi energy = 2.170 states/eV per cell



3.
First-principles (PBE) data for a geometry-optimized HRhS2 structure, as listed in Alexandria.

Cell: 6.7739 6.5708 6.6278 Å, 90.00 119.49 90.00°
Space group Cc (No. 9)
Symmetry-distinct sites (fractional):
H1 0.0000 0.2075 0.0000 (multiplicity 4)
Rh1 0.0619 0.3681 0.4491 (multiplicity 4)
S1 0.2448 0.3617 0.8529 (multiplicity 4)
S2 0.3730 0.1477 0.5305 (multiplicity 4)

Calculated values
DFT total energy = -19.8 eV per formula unit
DOS at the Fermi energy = 5.844 states/eV per cell



4.
First-principles (PBE) data for a geometry-optimized RbMn3Cd structure, as listed in Alexandria.

Cell: 5.3060 5.3060 5.3060 Å, 90.00 90.00 90.00°
Space group Pm-3m (No. 221)
Symmetry-distinct sites (fractional):
Rb1 0.0000 0.0000 0.0000 (multiplicity 1)
Mn1 0.0000 0.5000 0.5000 (multiplicity 3)
Cd1 0.5000 0.5000 0.5000 (multiplicity 1)

Calculated values
energy of formation = 1.12 eV per atom
DFT total energy = -23.8 eV per formula unit
DOS at the Fermi energy = 5.633 states/eV per cell



5.
First-principles (PBE) data for a geometry-optimized KTm4 structure, as listed in Alexandria.

Cell: 5.4304 5.4304 5.4304 Å, 90.00 90.00 90.00°
Space group Pm-3m (No. 221)
Symmetry-distinct sites (fractional):
K1 0.0000 0.0000 0.0000 (multiplicity 1)
Tm1 0.0000 0.0000 0.5000 (multiplicity 3)
Tm2 0.5000 0.5000 0.5000 (multiplicity 1)

Calculated values
energy of formation = 1.10 eV per atom
DFT total energy = -13.5 eV per formula unit
DOS at the Fermi energy = 4.011 states/eV per cell



6.
First-principles (PBE) data for a geometry-optimized Y2SnBRh6 structure, as listed in Alexandria.

Cell: 9.0077 9.0077 9.0077 Å, 90.00 90.00 90.00°
Space group Fm-3m (No. 225)
Symmetry-distinct sites (fractional):
Y1 0.2500 0.2500 0.2500 (multiplicity 8)
Sn1 0.0000 0.0000 0.0000 (multiplicity 4)
B1 0.0000 0.0000 0.5000 (multiplicity 4)
Rh1 0.0000 0.0000 0.2753 (multiplicity 24)

Calculated values
energy of formation = -0.43 eV per atom
DFT total energy = -72.0 eV per formula unit
DOS at the Fermi energy = 33.834 states/eV per cell



7.
First-principles (PBE) data for a geometry-optimized TaSiTeN2 structure, as listed in Alexandria.

Cell: 3.7738 3.7738 5.2807 Å, 90.00 90.00 90.00°
Space group P4/mmm (No. 123)
Symmetry-distinct sites (fractional):
Ta1 0.0000 0.0000 0.0000 (multiplicity 1)
Si1 0.5000 0.5000 0.5000 (multiplicity 1)
Te1 0.5000 0.5000 0.0000 (multiplicity 1)
N1 0.0000 0.5000 0.5000 (multiplicity 2)

Calculated values
DFT total energy = -31.1 eV per formula unit
uncorrected formation energy = 1.186 eV/atom
DOS at the Fermi energy = 2.593 states/eV per cell



8.
First-principles (PBE) data for a geometry-optimized KAc2N structure, as listed in Alexandria.

Cell: 3.8918 3.8918 33.9812 Å, 90.00 90.00 120.00°
Space group R-3m (No. 166, hexagonal axes)
Symmetry-distinct sites (fractional):
K1 0.0000 0.0000 0.0000 (multiplicity 3)
Ac1 0.0000 0.0000 0.1235 (multiplicity 6)
N1 0.0000 0.0000 0.5000 (multiplicity 3)

Calculated values
DFT total energy = -19.2 eV per formula unit
uncorrected formation energy = -0.393 eV/atom
DOS at the Fermi energy = 9.263 states/eV per cell



9.
First-principles (PBE) data for a geometry-optimized VPd5Au2 structure, as listed in Alexandria.

Cell: 2.7866 5.5605 16.5713 Å, 90.00 90.00 90.00°
Space group Immm (No. 71)
Symmetry-distinct sites (fractional):
V1 0.0000 0.0000 0.0000 (multiplicity 2)
Pd1 0.0000 0.2581 0.3877 (multiplicity 8)
Pd2 0.0000 0.5000 0.0000 (multiplicity 2)
Au1 0.0000 0.5000 0.2394 (multiplicity 4)

Calculated values
energy of formation = -0.09 eV per atom
DFT total energy = -42.3 eV per formula unit
DOS at the Fermi energy = 14.667 states/eV per cell



10.
First-principles (PBE) data for a geometry-optimized CuPt2W structure, as listed in Alexandria.

Cell: 2.8303 2.8303 26.0620 Å, 90.00 90.00 120.00°
Space group R3m (No. 160, hexagonal axes)
Symmetry-distinct sites (fractional):
Cu1 0.0000 0.0000 0.0000 (multiplicity 3)
Pt1 0.0000 0.0000 0.4160 (multiplicity 3)
Pt2 0.0000 0.0000 0.5840 (multiplicity 3)
W1 0.0000 0.0000 0.1665 (multiplicity 3)

Calculated values
energy of formation = -0.15 eV per atom
DFT total energy = -29.7 eV per formula unit
DOS at the Fermi energy = 6.561 states/eV per cell



11.
First-principles (PBE) data for a geometry-optimized Cs2Cd2Bi structure, as listed in Alexandria.

Cell: 8.5356 13.2325 8.2223 Å, 90.00 92.82 90.00°
Space group C2/m (No. 12)
Symmetry-distinct sites (fractional):
Cs1 0.1683 0.1701 0.2841 (multiplicity 8)
Cd1 0.1028 0.5000 0.3569 (multiplicity 4)
Cd2 0.1595 0.0000 0.8901 (multiplicity 4)
Bi1 0.0000 0.3865 0.0000 (multiplicity 4)

Calculated values
energy of formation = -0.15 eV per atom
DFT total energy = -8.2 eV per formula unit
DOS at the Fermi energy = 3.128 states/eV per cell



12.
First-principles (PBE) data for a geometry-optimized MgPdI2N structure, as listed in Alexandria.

Cell: 5.8014 5.8014 3.7819 Å, 90.00 90.00 90.00°
Space group P4/mmm (No. 123)
Symmetry-distinct sites (fractional):
Mg1 0.0000 0.0000 0.0000 (multiplicity 1)
Pd1 0.5000 0.5000 0.5000 (multiplicity 1)
I1 0.0000 0.5000 0.5000 (multiplicity 2)
N1 0.5000 0.5000 0.0000 (multiplicity 1)

Calculated values
DFT total energy = -16.2 eV per formula unit
uncorrected formation energy = 0.412 eV/atom
DOS at the Fermi energy = 2.477 states/eV per cell



Number 1: size of the total moment 7.178 μB per formula unit. Number 2: size of the total moment 0.000 μB per formula unit. Number 3: size of the total moment 0.000 μB per formula unit. Number 4: size of the total moment 13.405 μB per formula unit. Number 5: size of the total moment 0.000 μB per formula unit. Number 6: size of the total moment 0.001 μB per formula unit. Number 7: size of the total moment 0.000 μB per formula unit. Number 8: size of the total moment 0.000 μB per formula unit. Number 9: size of the total moment 0.681 μB per formula unit. Number 10: size of the total moment 0.000 μB per formula unit. Number 11: size of the total moment 0.000 μB per formula unit. Number 12: size of the total moment 0.000 μB per formula unit.